Entry 1:
Density functional theory data (PBE) for CeY4Ir5 after structural relaxation.

Values from the calculation:
The space group is No. 123. Its formation energy from the elements is -748.9 meV/atom.

Geometry as POSCAR:
```
CeY4Ir5
1.0
3.412 0.000 0.000
0.000 3.412 0.000
0.000 0.000 17.669
Ce Y Ir
1 4 5
Cartesian
0.000 0.000 0.000
0.000 0.000 3.553
0.000 0.000 7.074
0.000 0.000 10.595
0.000 0.000 14.116
1.706 1.706 1.730
1.706 1.706 5.300
1.706 1.706 8.835
1.706 1.706 12.370
1.706 1.706 15.939
```

---

Entry 2:
Density functional theory data (PBE) for Zr3NbF after structural relaxation.

Values from the calculation:
The space group is No. 221. The uncorrected formation energy comes out at 0.79 eV/atom. For the energy relative to the lowest polymorph listed for this composition, the calculation gives 1284 meV per atom.

Geometry as POSCAR:
```
Zr3NbF
1.0
5.147 0.000 0.000
0.000 5.147 0.000
0.000 0.000 5.147
Zr Nb F
3 1 1
Cartesian
0.000 0.000 2.574
0.000 2.574 0.000
2.574 0.000 0.000
0.000 0.000 0.000
2.574 2.574 2.574
```

---

Entry 3:
Density functional theory data (PBE) for ReIr2Cl after structural relaxation.

Values from the calculation:
The space group is No. 119. The uncorrected formation energy comes out at 0.97 eV/atom. For the energy relative to the lowest polymorph listed for this composition, the calculation gives 673 meV per atom.

Geometry as POSCAR:
```
ReIr2Cl
1.0
-2.205 2.205 3.113
2.205 -2.205 3.113
2.205 2.205 -3.113
Re Ir Cl
1 2 1
Cartesian
0.000 0.000 0.000
2.205 0.000 1.557
0.000 0.000 3.113
0.000 2.205 1.557
```

---

Entry 4:
Density functional theory data (PBE) for Li2ReAu after structural relaxation.

Values from the calculation:
The space group is No. 71. Its formation energy from the elements is 181.5 meV/atom. For the energy relative to the lowest polymorph listed for this composition, the calculation gives 173 meV per atom.

Geometry as POSCAR:
```
Li2ReAu
1.0
-1.335 2.445 4.689
1.335 -2.445 4.689
1.335 2.445 -4.689
Li Re Au
2 1 1
Cartesian
0.000 0.000 2.283
0.000 0.000 7.095
0.000 2.445 0.000
1.335 0.000 0.000
```

---

Number 1: total magnetization 0.0 Bohr magnetons per cell. Number 2: total magnetization 1.4 Bohr magnetons per cell. Number 3: total magnetization 0.0 Bohr magnetons per cell. Number 4: total magnetization 0.8 Bohr magnetons per cell.